LiCe2UO6 | PBE | optimized geometry

Unit cell a=5.9309 b=5.9309 c=14.9563 alpha=90.00 beta=90.00 gamma=120.00
Space group R3 (No. 146, hexagonal axes)
Unique sites:
Li1 0.0000 0.0000 0.0000 (multiplicity 3)
Ce1 0.0000 0.0000 0.2772 (multiplicity 3)
Ce2 0.0000 0.0000 0.7807 (multiplicity 3)
U1 0.0000 0.0000 0.4965 (multiplicity 3)
O1 0.0492 0.3511 0.5602 (multiplicity 9)
O2 0.0609 0.6793 0.0665 (multiplicity 9)

Output
Its uncorrected energy is -256.19 eV per cell. For the volume, the calculation gives 15.187 Å³ per atom.

LiCeUO6 | PBE | optimized geometry

Unit cell a=5.3392 b=5.3392 c=5.0159 alpha=90.00 beta=90.00 gamma=120.00
Space group P312 (No. 149)
Unique sites:
Li1 0.0000 0.0000 0.0000 (multiplicity 1)
Ce1 0.3333 0.6667 0.5000 (multiplicity 1)
U1 0.6667 0.3333 0.0000 (multiplicity 1)
O1 0.3471 0.0161 0.2323 (multiplicity 6)

Output
Its uncorrected energy is -73.51 eV per cell. For the volume, the calculation gives 13.759 Å³ per atom.